## Tb4YTl4 (PBE-GGA)

Data for a relaxed structure of Tb4YTl4.

Values from the calculation:
Space group: No. 86
Calculated formation energy in eV per atom: -0.170
Total magnetic moment in Bohr magnetons per cell: 0.0
Final energy in eV for the cell shown: -71.96

extended XYZ file:
```
18
Lattice="9.407 0.000 0.000 0.000 9.407 0.000 0.000 0.000 5.960" Properties=species:S:1:pos:R:3 pbc="T T T"
Tb 0.841 7.783 0.772
Tb 1.624 5.544 3.752
Tb 3.080 8.567 3.752
Tb 3.863 6.327 0.772
Tb 5.544 3.080 5.189
Tb 6.327 0.841 2.208
Tb 7.783 3.863 2.208
Tb 8.567 1.624 5.189
Y 2.352 2.352 4.470
Y 7.055 7.055 1.490
Tl 0.392 1.389 2.161
Tl 1.389 4.311 0.819
Tl 3.315 0.392 0.819
Tl 4.311 3.315 2.161
Tl 5.096 6.092 3.800
Tl 6.092 9.015 5.141
Tl 8.019 5.096 5.141
Tl 9.015 8.019 3.800
```